# LiErTlPb

Crystalline LiErTlPb at its relaxed geometry (PBE-GGA, Alexandria via LeMat-Bulk).

Computed properties:
Space group: F-43m (216)

Unit cell a=5.233 b=5.233 c=5.233 alpha=60.00 beta=60.00 gamma=60.00
Sites, in units of the cell vectors:
Li  0.000  0.000  0.000
Er  0.500  0.500  0.500
Tl  0.250  0.250  0.250
Pb  0.750  0.750  0.750

# LiErTmPb

Crystalline LiErTmPb at its relaxed geometry (PBE-GGA, Alexandria via LeMat-Bulk).

Computed properties:
Space group: F-43m (216)

Unit cell a=5.236 b=5.236 c=5.236 alpha=60.00 beta=60.00 gamma=60.00
Sites, in units of the cell vectors:
Li  0.000  0.000  0.000
Er  0.750  0.750  0.750
Tm  0.250  0.250  0.250
Pb  0.500  0.500  0.500

# LiEr4Pd5

Crystalline LiEr4Pd5 at its relaxed geometry (PBE-GGA, Alexandria via LeMat-Bulk).

Computed properties:
Space group: P4/mmm (123)

Unit cell a=3.433 b=3.433 c=16.666 alpha=90.00 beta=90.00 gamma=90.00
Sites, in units of the cell vectors:
Li  0.000  0.000  0.000
Er  0.000  0.000  0.181
Er  0.000  0.000  0.394
Er  0.000  0.000  0.606
Er  0.000  0.000  0.819
Pd  0.500  0.500  0.085
Pd  0.500  0.500  0.287
Pd  0.500  0.500  0.500
Pd  0.500  0.500  0.713
Pd  0.500  0.500  0.915

# LiEr12Pd6

Crystalline LiEr12Pd6 at its relaxed geometry (PBE-GGA, Alexandria via LeMat-Bulk).

Computed properties:
Space group: R-3 (148)

Unit cell a=8.650 b=8.650 c=8.650 alpha=108.90 beta=108.90 gamma=108.90
Sites, in units of the cell vectors:
Li  0.000  0.000  0.000
Er  0.033  0.857  0.331
Er  0.143  0.669  0.967
Er  0.149  0.382  0.445
Er  0.331  0.033  0.857
Er  0.382  0.445  0.149
Er  0.445  0.149  0.382
Er  0.555  0.851  0.618
Er  0.618  0.555  0.851
Er  0.669  0.967  0.143
Er  0.851  0.618  0.555
Er  0.857  0.331  0.033
Er  0.967  0.143  0.669
Pd  0.216  0.643  0.293
Pd  0.293  0.216  0.643
Pd  0.357  0.707  0.784
Pd  0.643  0.293  0.216
Pd  0.707  0.784  0.357
Pd  0.784  0.357  0.707

# LiErPd2

Crystalline LiErPd2 at its relaxed geometry (PBE-GGA, Alexandria via LeMat-Bulk).

Computed properties:
Space group: P4/mmm (123)

Unit cell a=3.430 b=3.430 c=5.974 alpha=90.00 beta=90.00 gamma=90.00
Sites, in units of the cell vectors:
Li  0.000  0.000  0.000
Er  0.000  0.000  0.500
Pd  0.500  0.500  0.233
Pd  0.500  0.500  0.767

# Li5ErPd6

Crystalline Li5ErPd6 at its relaxed geometry (PBE-GGA, Alexandria via LeMat-Bulk).

Computed properties:
Space group: P2/m (10)

Unit cell a=4.181 b=6.841 c=6.596 alpha=90.00 beta=108.60 gamma=90.00
Sites, in units of the cell vectors:
Li  0.000  0.000  0.000
Li  0.321  0.500  0.643
Li  0.333  0.000  0.665
Li  0.667  0.000  0.335
Li  0.679  0.500  0.357
Er  0.000  0.500  0.000
Pd  0.170  0.235  0.340
Pd  0.170  0.765  0.340
Pd  0.500  0.228  0.000
Pd  0.500  0.772  0.000
Pd  0.830  0.235  0.660
Pd  0.830  0.765  0.660

no.,calculated density (g/cm³),formation enthalpy at 0 K (eV/atom)
1,9.6,-0.297
2,9.0,-0.221
3,10.2,-0.850
4,8.7,-0.444
5,9.1,-0.748
6,7.8,-0.549